Entry 1:
An optimized crystal structure of MgInPt2, computed with PBE.

a = 3.0017 Å, b = 3.0017 Å, c = 7.5202 Å
α = 90.00°, β = 90.00°, γ = 90.00°
With the nearest neighbours (Å) after each atom.
Positions (direct):
Mg 0.0000 0.0000 0.0000  8 Pt 2.79, 4 Mg 3.00
In 0.0000 0.0000 0.5000  8 Pt 2.88, 4 In 3.00
Pt 0.5000 0.5000 0.2407  4 Mg 2.79, 4 In 2.88, 4 Pt 3.00
Pt 0.5000 0.5000 0.7593  4 Mg 2.79, 4 In 2.88, 4 Pt 3.00

Output
The value obtained for the final energy is -4.725 eV/atom. The space group is P4/mmm, No. 123.

=====

Entry 2:
An optimized crystal structure of Mg3InPt, computed with PBE.

a = 5.0368 Å, b = 5.0368 Å, c = 5.0368 Å
α = 90.00°, β = 90.00°, γ = 90.00°
With the nearest neighbours (Å) after each atom.
Positions (direct):
Mg 0.0000 0.0000 0.5000  2 Pt 2.52
Mg 0.0000 0.5000 0.0000  2 Pt 2.52
Mg 0.5000 0.0000 0.0000  2 Pt 2.52
In 0.5000 0.5000 0.5000  12 Mg 3.56
Pt 0.0000 0.0000 0.0000  6 Mg 2.52

Output
The calculation puts the energy above the most stable polymorph in this dataset at 0.170 eV/atom. The value obtained for the final energy is -2.979 eV/atom. The space group is Pm-3m, No. 221.